DFT (PBE+U) results for a relaxed structure of ScFeO3.

Cell and atoms, written as POSCAR:
```
ScFeO3
1.0
5.058 0.000 0.000
0.000 5.391 0.000
-5.005 0.000 7.514
Sc Fe O
4 4 12
direct
0.222 0.073 0.250
0.222 0.427 0.750
0.778 0.573 0.250
0.778 0.927 0.750
0.000 0.000 0.500
0.000 0.500 0.000
0.500 0.000 0.000
0.500 0.500 0.500
0.113 0.194 0.928
0.113 0.306 0.428
0.238 0.689 0.929
0.238 0.811 0.429
0.386 0.060 0.745
0.386 0.440 0.245
0.614 0.560 0.755
0.614 0.940 0.255
0.762 0.189 0.571
0.762 0.311 0.071
0.887 0.694 0.572
0.887 0.806 0.072
```

Output
- E: -7.681 eV per atom
- Space group: No. 14